The following is a DFT calculation (GGA-PBE) of a geometry-optimized CoAgAs2 structure.

POSCAR file:
```
CoAgAs2
1.0
-1.8903 -5.3743 -3.5151
0.6768 -4.7815 -4.6360
1.4620 -2.9924 1.7654
As Co Ag
2 1 1
Direct
0.0243 0.0243 0.9759
0.8177 0.8177 0.6821
0.4708 0.4708 0.5298
0.1872 0.1872 0.3123
```

Computed properties:
For the formation enthalpy at 0 K, the calculation gives 0.08 eV/atom. For the total energy, the calculation gives -4.7320 eV per atom. The value obtained for the energy above the most stable polymorph in this dataset is 56 meV per atom. The space group is Imm2, No. 44. As for the density of states at the Fermi level: 3.38 states/eV per cell.

The following is a DFT calculation (GGA-PBE) of a geometry-optimized AcDy3Ni structure.

POSCAR file:
```
AcDy3Ni
1.0
5.4012 0.0000 0.0000
0.0000 5.4012 0.0000
0.0000 0.0000 5.4012
Dy Ni Ac
3 1 1
Direct
0.0000 0.0000 0.5000
0.0000 0.5000 0.0000
0.5000 0.0000 0.0000
0.0000 0.0000 0.0000
0.5000 0.5000 0.5000
```

Computed properties:
For the formation enthalpy at 0 K, the calculation gives -0.10 eV/atom. For the total energy, the calculation gives -4.8374 eV per atom. The space group is Pm-3m, No. 221. As for the density of states at the Fermi level: 9.64 states/eV per cell.

The following is a DFT calculation (GGA-PBE) of a geometry-optimized La4Pm10Pr structure.

POSCAR file:
```
La4Pm10Pr
1.0
0.3752 -6.9548 4.1228
-3.9271 -7.2618 -3.9480
7.2791 -5.2948 -1.6497
Pm La Pr
10 4 1
Direct
0.4981 0.2095 0.2094
0.2926 0.2094 0.7905
0.0830 0.2095 0.2094
0.9170 0.7905 0.7906
0.5019 0.7905 0.7906
0.7500 0.5000 0.5000
0.2500 0.5000 0.5000
0.2924 0.7906 0.2095
0.7074 0.7906 0.2095
0.7076 0.2094 0.7905
0.7732 0.0000 0.4535
0.7733 0.4535 0.0000
0.2267 0.5465 0.0000
0.2268 0.0000 0.5465
0.0000 0.0000 0.0000
```

Computed properties:
For the formation enthalpy at 0 K, the calculation gives 0.23 eV/atom. For the total energy, the calculation gives -4.5699 eV per atom. The space group is I4/mmm, No. 139. As for the density of states at the Fermi level: 21.26 states/eV per cell.

The following is a DFT calculation (GGA-PBE) of a geometry-optimized MnTlPtSe structure.

POSCAR file:
```
MnTlPtSe
1.0
-0.6440 3.4849 0.6067
-2.2975 -1.9387 -1.9626
-2.1053 -1.6807 7.3941
Pt Tl Se Mn
1 1 1 1
Direct
0.9455 0.6816 0.1176
0.7006 0.1905 0.3845
0.4847 0.7613 0.7344
0.2121 0.2154 0.9175
```

Computed properties:
For the total energy, the calculation gives -5.4244 eV per atom. The value obtained for the energy above the most stable polymorph in this dataset is 0 meV per atom. The space group is Cm, No. 8. As for the density of states at the Fermi level: 1.85 states/eV per cell.

The following is a DFT calculation (GGA-PBE) of a geometry-optimized K2VCuS4 structure.

POSCAR file:
```
K2VCuS4
1.0
-7.4280 -5.7556 -9.3466
-0.4082 -5.6210 -10.4029
-4.6683 -4.9085 2.1272
S K Cu V
8 4 2 2
Direct
0.0233 0.3679 0.6704
0.2267 0.8821 0.5796
0.9384 0.6704 0.3679
0.5796 0.3116 0.2267
0.3116 0.5796 0.8821
0.3679 0.0233 0.9384
0.6704 0.9384 0.0233
0.8821 0.2267 0.3116
0.6786 0.6786 0.3214
0.9286 0.9286 0.5714
0.3214 0.3214 0.6786
0.5714 0.5714 0.9286
0.2500 0.2500 0.2500
0.0000 0.0000 0.0000
0.5000 0.5000 0.5000
0.7500 0.7500 0.7500
```

Computed properties:
For the total energy, the calculation gives -5.0164 eV per atom. The value obtained for the energy above the most stable polymorph in this dataset is 0 meV per atom. The space group is Fddd, No. 70.

The following is a DFT calculation (GGA-PBE) of a geometry-optimized ScAlPd4 structure.

POSCAR file:
```
ScAlPd4
1.0
4.2071 0.0000 0.0000
2.1036 3.6249 0.2067
2.1036 0.8032 7.0901
Sc Pd Al
1 4 1
Direct
0.5000 0.5000 0.5000
0.6287 0.6294 0.1133
0.3713 0.3706 0.8867
0.1176 0.1193 0.6455
0.8824 0.8807 0.3545
0.0000 0.0000 0.0000
```

Computed properties:
For the formation enthalpy at 0 K, the calculation gives -0.60 eV/atom. For the total energy, the calculation gives -5.7393 eV per atom. The value obtained for the energy above the most stable polymorph in this dataset is 216 meV per atom. The space group is C2/m, No. 12. As for the density of states at the Fermi level: 0.94 states/eV per cell.